Entry 1:
! K2SnBiH (PBE-GGA, optimized geometry); values from VASP
&SYSTEM
  ibrav = 0, nat = 5, ntyp = 4
/
ATOMIC_SPECIES
K 39.10 K.upf
H 1.01 H.upf
Sn 118.71 Sn.upf
Bi 208.98 Bi.upf
CELL_PARAMETERS angstrom
-2.047 -2.037 -4.163
-2.994 -2.893 2.888
-3.721 3.814 -0.036
ATOMIC_POSITIONS crystal
K 0.000 0.500 0.000
K 0.500 0.000 0.000
H 0.000 0.000 0.000
Sn 0.000 0.000 0.500
Bi 0.500 0.500 0.500
! DOS at the Fermi energy = 1.995 states/eV/cell

***

Entry 2:
! KSn2BiH (PBE-GGA, optimized geometry); values from VASP
&SYSTEM
  ibrav = 0, nat = 5, ntyp = 4
/
ATOMIC_SPECIES
Bi 208.98 Bi.upf
Sn 118.71 Sn.upf
H 1.01 H.upf
K 39.10 K.upf
CELL_PARAMETERS angstrom
-1.356 2.829 5.449
-2.091 -3.155 1.118
5.157 -2.503 2.583
ATOMIC_POSITIONS crystal
Bi 0.000 0.000 0.000
Sn 0.500 0.000 0.000
H 0.000 0.500 0.000
Sn 0.000 0.000 0.500
K 0.500 0.500 0.500
! DOS at the Fermi energy = 3.358 states/eV/cell

***

Across the entries above, total energy takes the values -13.969 -14.789 eV per cell, respectively.